{"formula": "CsNiF", "functional": "GGA+U", "state": "relaxed", "e_above_lowest_polymorph_ev_per_atom": 0.1149, "dos_ef_per_ev_cell": 0.00, "volume_a3_per_atom": 27.669, "total_magnetization_mub_per_cell": 2.0, "lattice_angstrom": [[3.942, 0.000, -0.001], [-0.004, 6.744, 0.042], [0.003, 2.511, 6.260]], "species": ["Cs", "F", "F", "Cs", "Ni", "Ni"], "frac_coords": [[0.088, 0.288, 0.882], [0.589, 0.933, 0.955], [0.589, 0.615, 0.638], [0.088, 0.689, 0.283], [0.589, 0.913, 0.658], [0.089, 0.106, 0.465]]}